# 1
! HfZrCuBi, relaxed, DFT GGA-PBE; values from VASP
! Polymorph energy (0 for the lowest one)   0.0 kJ/mol of atoms
! Final energy   -0.239 hartree per atom
&SYSTEM
  ibrav = 0, nat = 4, ntyp = 4
/
ATOMIC_SPECIES
Hf 178.49 Hf.upf
Zr 91.22 Zr.upf
Cu 63.55 Cu.upf
Bi 208.98 Bi.upf
CELL_PARAMETERS angstrom
0.0000 3.4671 3.4671
3.4671 0.0000 3.4671
3.4671 3.4671 0.0000
ATOMIC_POSITIONS angstrom
Hf 0.0000 0.0000 0.0000
Zr 3.4671 3.4671 3.4671
Cu 1.7335 1.7335 1.7335
Bi 5.2006 5.2006 5.2006

# 2
! LiScFeGe, relaxed, DFT GGA-PBE; values from VASP
! Polymorph energy (0 for the lowest one)   0.0 kJ/mol of atoms
! Final energy   -0.205 hartree per atom
&SYSTEM
  ibrav = 0, nat = 4, ntyp = 4
/
ATOMIC_SPECIES
Li 6.94 Li.upf
Sc 44.96 Sc.upf
Fe 55.84 Fe.upf
Ge 72.64 Ge.upf
CELL_PARAMETERS angstrom
0.0000 3.0600 3.0600
3.0600 0.0000 3.0600
3.0600 3.0600 0.0000
ATOMIC_POSITIONS angstrom
Li 0.0000 0.0000 0.0000
Sc 4.5899 4.5899 4.5899
Fe 3.0600 3.0600 3.0600
Ge 1.5300 1.5300 1.5300

# 3
! CdNiW4N2, relaxed, DFT GGA-PBE; values from VASP
! Final energy   -0.338 hartree per atom
&SYSTEM
  ibrav = 0, nat = 8, ntyp = 4
/
ATOMIC_SPECIES
Cd 112.41 Cd.upf
Ni 58.69 Ni.upf
W 183.84 W.upf
N 14.01 N.upf
CELL_PARAMETERS angstrom
2.8293 0.0000 0.0000
-1.4146 2.4502 0.0000
0.0000 0.0000 15.0972
ATOMIC_POSITIONS angstrom
Cd 0.0000 0.0000 0.0000
Ni 0.0000 1.6335 7.5486
W 0.0000 0.0000 5.4232
W 0.0000 0.0000 9.6740
W 0.0000 1.6335 2.5221
W 0.0000 1.6335 12.5752
N 1.4146 0.8167 3.9473
N 1.4146 0.8167 11.1500

# 4
! TaBiN2O, relaxed, DFT GGA-PBE; values from VASP
! Final energy   -0.307 hartree per atom
&SYSTEM
  ibrav = 0, nat = 20, ntyp = 4
/
ATOMIC_SPECIES
Ta 180.95 Ta.upf
Bi 208.98 Bi.upf
N 14.01 N.upf
O 16.00 O.upf
CELL_PARAMETERS angstrom
7.8005 0.0000 0.0000
0.0000 5.8657 0.0000
0.0000 0.0000 5.7646
ATOMIC_POSITIONS angstrom
Ta 1.9502 1.4668 0.0000
Ta 1.9502 4.3989 2.8823
Ta 5.8504 1.4668 0.0000
Ta 5.8504 4.3989 2.8823
Bi 0.0000 1.1826 2.8977
Bi 0.0000 4.6830 0.0154
Bi 3.9003 1.7487 2.9052
Bi 3.9003 4.1170 0.0229
N 1.5128 5.8630 1.5468
N 1.5128 0.0027 4.4291
N 2.3868 2.9246 1.5573
N 2.3868 2.9411 4.4396
N 5.4138 2.9246 1.5573
N 5.4138 2.9411 4.4396
N 6.2877 5.8630 1.5468
N 6.2877 0.0027 4.4291
O 0.0000 1.9528 0.1237
O 0.0000 3.9128 3.0060
O 3.9003 0.9809 0.1211
O 3.9003 4.8848 3.0034

# 5
! ErTmSc, relaxed, DFT GGA-PBE; values from VASP
! Polymorph energy (0 for the lowest one)   0.0 kJ/mol of atoms
! Final energy   -0.163 hartree per atom
! Formation energy from the elements   0.694 eV per atom
&SYSTEM
  ibrav = 0, nat = 3, ntyp = 3
/
ATOMIC_SPECIES
Er 167.26 Er.upf
Tm 168.93 Tm.upf
Sc 44.96 Sc.upf
CELL_PARAMETERS angstrom
0.0000 3.6749 3.6749
3.6749 0.0000 3.6749
3.6749 3.6749 0.0000
ATOMIC_POSITIONS angstrom
Er 0.0000 0.0000 0.0000
Tm 3.6749 3.6749 3.6749
Sc 1.8375 1.8375 1.8375

# 6
! BaZrRe2, relaxed, DFT GGA-PBE; values from VASP
! Final energy   -0.285 hartree per atom
&SYSTEM
  ibrav = 0, nat = 4, ntyp = 3
/
ATOMIC_SPECIES
Ba 137.33 Ba.upf
Zr 91.22 Zr.upf
Re 186.21 Re.upf
CELL_PARAMETERS angstrom
0.0000 3.4242 3.4242
3.4242 0.0000 3.4242
3.4242 3.4242 0.0000
ATOMIC_POSITIONS angstrom
Ba 0.0000 0.0000 0.0000
Zr 1.7121 1.7121 1.7121
Re 3.4242 3.4242 3.4242
Re 5.1364 5.1364 5.1364

# 7
! HoTmMg, relaxed, DFT GGA-PBE; values from VASP
! Polymorph energy (0 for the lowest one)   0.0 kJ/mol of atoms
! Final energy   -0.132 hartree per atom
&SYSTEM
  ibrav = 0, nat = 6, ntyp = 3
/
ATOMIC_SPECIES
Ho 164.93 Ho.upf
Tm 168.93 Tm.upf
Mg 24.30 Mg.upf
CELL_PARAMETERS angstrom
1.7911 -8.6372 0.0000
1.7911 8.6372 0.0000
0.0000 0.0000 5.4279
ATOMIC_POSITIONS angstrom
Ho 1.7911 6.9509 4.0709
Ho 1.7911 -6.9509 1.3570
Tm 1.7911 4.7373 1.3570
Tm 1.7911 -4.7373 4.0709
Mg 1.7911 1.0827 4.0709
Mg 1.7911 -1.0827 1.3570

# 8
! Er2Si2Ge, relaxed, DFT GGA-PBE; values from VASP
! Final energy   -0.206 hartree per atom
&SYSTEM
  ibrav = 0, nat = 5, ntyp = 3
/
ATOMIC_SPECIES
Er 167.26 Er.upf
Si 28.09 Si.upf
Ge 72.64 Ge.upf
CELL_PARAMETERS angstrom
-2.0001 3.0439 4.1513
2.0001 -3.0439 4.1513
2.0001 3.0439 -4.1513
ATOMIC_POSITIONS angstrom
Er 0.0000 0.0000 1.8482
Er 0.0000 0.0000 6.4544
Si 2.0001 1.1918 0.0000
Si 0.0000 1.8521 4.1513
Ge 0.0000 3.0439 0.0000

# 9
! Ge2W4CN, relaxed, DFT GGA-PBE; values from VASP
! Final energy   -0.352 hartree per atom
&SYSTEM
  ibrav = 0, nat = 8, ntyp = 4
/
ATOMIC_SPECIES
Ge 72.64 Ge.upf
W 183.84 W.upf
C 12.01 C.upf
N 14.01 N.upf
CELL_PARAMETERS angstrom
3.0735 0.0000 0.0000
-1.5368 2.6617 0.0000
0.0000 0.0000 12.9764
ATOMIC_POSITIONS angstrom
Ge 0.0000 1.7745 3.2630
Ge 1.5368 0.8872 9.7135
W 0.0000 1.7745 7.6688
W 0.0000 1.7745 11.7154
W 1.5368 0.8872 1.2610
W 1.5368 0.8872 5.3077
C 0.0000 0.0000 6.4882
N 0.0000 0.0000 0.0000

# 10
! GdEr2Cd3InGa2, relaxed, DFT GGA-PBE; values from VASP
! Final energy   -0.121 hartree per atom
&SYSTEM
  ibrav = 0, nat = 9, ntyp = 5
/
ATOMIC_SPECIES
Gd 157.25 Gd.upf
Er 167.26 Er.upf
Cd 112.41 Cd.upf
In 114.82 In.upf
Ga 69.72 Ga.upf
CELL_PARAMETERS angstrom
4.5080 0.0000 0.0000
0.0000 6.3345 3.6417
0.0000 -6.3345 3.6417
ATOMIC_POSITIONS angstrom
Gd 0.0000 0.0000 0.0000
Er 0.0000 -2.7816 2.4947
Er 0.0000 2.7816 2.4947
Cd 2.2540 0.0000 2.2322
Cd 2.2540 -1.6146 5.0171
Cd 2.2540 1.6146 5.0171
In 0.0000 0.0000 4.0703
Ga 2.2540 -4.2057 4.0910
Ga 2.2540 4.2057 4.0910